The following is a DFT calculation (PBE-GGA) of a geometry-optimized Mn3NbTc structure.

Cell lengths 4.4924, 4.4924, 4.4924 Å; angles 90.00, 90.00, 90.00 degrees
Fractional positions:
Mn 0.0000 0.0000 0.5000
Mn 0.0000 0.5000 0.0000
Mn 0.5000 0.0000 0.0000
Nb 0.5000 0.5000 0.5000
Tc 0.0000 0.0000 0.0000

Results
DFT formation energy	1.25	eV/atom
E_tot	-8.339	eV per atom
polymorph energy (0 for the lowest one)	0	meV per atom